A | This record from Alexandria describes crystalline Sm5ErTm3 at its relaxed geometry. The functional is GGA-PBE.

Results
SG	No. 15
V	588	Å³ per cell
mass density	8.051	Mg/m³
size of the total moment	0.00	μB per formula unit

Cell lengths 8.8216, 8.8216, 11.4868 Å; angles 108.71, 108.71, 44.55 degrees
Last column: nearest neighbours and their distance in Å.
Fractional coordinates of all 18 atoms:
Sm 0.1081 0.1143 0.5518  4 Sm 3.38-3.60, 5 Tm 3.45-3.77, 2 Er 3.75-3.78
Sm 0.1143 0.1081 0.0518  4 Sm 3.38-3.60, 5 Tm 3.45-3.77, 2 Er 3.75-3.78
Sm 0.1885 0.8115 0.7500  1 Er 3.01, 2 Sm 3.03
Sm 0.2438 0.4142 0.6565  2 Sm 3.03-3.38, 2 Tm 3.30-3.31
Sm 0.4142 0.2438 0.1565  2 Sm 3.03-3.38, 2 Tm 3.30-3.31
Sm 0.5858 0.7562 0.8435  2 Sm 3.03-3.38, 2 Tm 3.30-3.31
Sm 0.7562 0.5858 0.3435  2 Sm 3.03-3.38, 2 Tm 3.30-3.31
Sm 0.8115 0.1885 0.2500  1 Er 3.01, 2 Sm 3.03
Sm 0.8857 0.8919 0.9482  4 Sm 3.38-3.60, 5 Tm 3.45-3.77, 2 Er 3.75-3.78
Sm 0.8919 0.8857 0.4482  4 Sm 3.38-3.60, 5 Tm 3.45-3.77, 2 Er 3.75-3.78
Er 0.2609 0.7391 0.2500  1 Sm 3.01, 2 Tm 3.29
Er 0.7391 0.2609 0.7500  1 Sm 3.01, 2 Tm 3.29
Tm 0.1427 0.3337 0.8731  7 Sm 3.30-3.61, 1 Tm 3.48
Tm 0.3337 0.1427 0.3731  7 Sm 3.30-3.61, 1 Tm 3.48
Tm 0.5000 0.5000 0.0000  2 Er 3.29, 2 Sm 3.55
Tm 0.5000 0.5000 0.5000  2 Er 3.29, 2 Sm 3.55
Tm 0.6663 0.8573 0.6269  7 Sm 3.30-3.61, 1 Tm 3.48
Tm 0.8573 0.6663 0.1269  7 Sm 3.30-3.61, 1 Tm 3.48



B | This record from Alexandria describes crystalline Sm5ErTm3 at its relaxed geometry. The functional is GGA-PBE.

Results
SG	No. 12
V	662	Å³ per cell
mass density	7.148	Mg/m³
size of the total moment	0.00	μB per formula unit

Cell lengths 9.5218, 9.5218, 9.8263 Å; angles 120.42, 120.42, 74.88 degrees
Last column: nearest neighbours and their distance in Å.
Fractional coordinates of all 18 atoms:
Sm 0.1009 0.6060 0.2578  2 Sm 3.35-3.43, 2 Tm 3.47-3.54
Sm 0.2278 0.2278 0.2389  3 Tm 3.21-3.35, 3 Sm 3.30-3.43, 1 Er 3.32
Sm 0.2453 0.7547 0.0000  1 Tm 2.95
Sm 0.2766 0.2766 0.9562  3 Tm 3.12-3.37, 1 Er 3.28, 3 Sm 3.30-3.35
Sm 0.3940 0.8991 0.7422  2 Sm 3.35-3.43, 2 Tm 3.47-3.54
Sm 0.6060 0.1009 0.2578  2 Sm 3.35-3.43, 2 Tm 3.47-3.54
Sm 0.7234 0.7234 0.0438  3 Tm 3.12-3.37, 1 Er 3.28, 3 Sm 3.30-3.35
Sm 0.7547 0.2453 0.0000  1 Tm 2.95
Sm 0.7722 0.7722 0.7611  3 Tm 3.21-3.35, 3 Sm 3.30-3.43, 1 Er 3.32
Sm 0.8991 0.3940 0.7422  2 Sm 3.35-3.43, 2 Tm 3.47-3.54
Er 0.2470 0.2470 0.5948  4 Tm 3.22-3.41, 2 Sm 3.28-3.32
Er 0.7530 0.7530 0.4052  4 Tm 3.22-3.41, 2 Sm 3.28-3.32
Tm 0.0000 0.0000 0.5000  2 Tm 3.10, 2 Er 3.22, 4 Sm 3.47
Tm 0.0093 0.0093 0.8249  1 Tm 3.10, 5 Sm 3.21-3.37, 1 Er 3.41
Tm 0.4842 0.4842 0.6456  2 Tm 3.19-3.34, 4 Sm 3.22-3.54, 1 Er 3.29
Tm 0.5000 0.5000 0.0000  4 Sm 2.95-3.12
Tm 0.5158 0.5158 0.3544  2 Tm 3.19-3.34, 4 Sm 3.22-3.54, 1 Er 3.29
Tm 0.9907 0.9907 0.1751  1 Tm 3.10, 5 Sm 3.21-3.37, 1 Er 3.41



Most stable of them? A.



A | This record from Alexandria describes crystalline SmErTm2 at its relaxed geometry. The functional is GGA-PBE.

Results
SG	No. 123
V	127	Å³ per cell
mass density	8.601	Mg/m³
size of the total moment	0.00	μB per formula unit

Cell lengths 3.9669, 3.9669, 8.0426 Å; angles 90.00, 90.00, 90.00 degrees
Last column: nearest neighbours and their distance in Å.
Fractional coordinates of all 4 atoms:
Sm 0.0000 0.0000 0.0000  8 Tm 3.51
Er 0.0000 0.0000 0.5000  8 Tm 3.39
Tm 0.5000 0.5000 0.2634  4 Er 3.39, 4 Sm 3.51
Tm 0.5000 0.5000 0.7366  4 Er 3.39, 4 Sm 3.51



B | This record from Alexandria describes crystalline SmErTm2 at its relaxed geometry. The functional is GGA-PBE.

Results
SG	No. 160
V	373	Å³ per cell
mass density	8.751	Mg/m³
size of the total moment	0.01	μB per formula unit

Cell lengths 3.5573, 3.5573, 34.0477 Å; angles 90.00, 90.00, 120.00 degrees
Last column: nearest neighbours and their distance in Å.
Fractional coordinates of all 12 atoms:
Sm 0.0000 0.0000 0.0000  6 Tm 3.53-3.55, 6 Sm 3.56
Sm 0.3333 0.6667 0.6667  6 Tm 3.53-3.55, 6 Sm 3.56
Sm 0.6667 0.3333 0.3333  6 Tm 3.53-3.55, 6 Sm 3.56
Er 0.0000 0.0000 0.1657  6 Tm 3.45-3.48, 6 Er 3.56
Er 0.3333 0.6667 0.8324  6 Tm 3.45-3.48, 6 Er 3.56
Er 0.6667 0.3333 0.4990  6 Tm 3.45-3.48, 6 Er 3.56
Tm 0.0000 0.0000 0.4175  3 Er 3.45, 3 Sm 3.53, 6 Tm 3.56
Tm 0.0000 0.0000 0.5815  3 Er 3.48, 3 Sm 3.55, 6 Tm 3.56
Tm 0.3333 0.6667 0.0842  3 Er 3.45, 3 Sm 3.53, 6 Tm 3.56
Tm 0.3333 0.6667 0.2482  3 Er 3.48, 3 Sm 3.55, 6 Tm 3.56
Tm 0.6667 0.3333 0.7509  3 Er 3.45, 3 Sm 3.53, 6 Tm 3.56
Tm 0.6667 0.3333 0.9148  3 Er 3.48, 3 Sm 3.55, 6 Tm 3.56



C | This record from Alexandria describes crystalline SmErTm2 at its relaxed geometry. The functional is GGA-PBE.

Results
SG	No. 166
V	371	Å³ per cell
mass density	8.793	Mg/m³
size of the total moment	0.00	μB per formula unit

Cell lengths 3.5303, 3.5303, 34.4050 Å; angles 90.00, 90.00, 120.00 degrees
Last column: nearest neighbours and their distance in Å.
Fractional coordinates of all 12 atoms:
Sm 0.0000 0.0000 0.0000  6 Sm 3.53, 6 Tm 3.55
Sm 0.3333 0.6667 0.6667  6 Sm 3.53, 6 Tm 3.55
Sm 0.6667 0.3333 0.3333  6 Sm 3.53, 6 Tm 3.55
Er 0.0000 0.0000 0.5000  6 Tm 3.49, 6 Er 3.53
Er 0.3333 0.6667 0.1667  6 Tm 3.49, 6 Er 3.53
Er 0.6667 0.3333 0.8333  6 Tm 3.49, 6 Er 3.53
Tm 0.0000 0.0000 0.2489  3 Er 3.49, 6 Tm 3.53, 3 Sm 3.55
Tm 0.0000 0.0000 0.7511  3 Er 3.49, 6 Tm 3.53, 3 Sm 3.55
Tm 0.3333 0.6667 0.4177  3 Er 3.49, 6 Tm 3.53, 3 Sm 3.55
Tm 0.3333 0.6667 0.9156  3 Er 3.49, 6 Tm 3.53, 3 Sm 3.55
Tm 0.6667 0.3333 0.0844  3 Er 3.49, 6 Tm 3.53, 3 Sm 3.55
Tm 0.6667 0.3333 0.5823  3 Er 3.49, 6 Tm 3.53, 3 Sm 3.55



D | This record from Alexandria describes crystalline SmErTm2 at its relaxed geometry. The functional is GGA-PBE.

Results
SG	No. 123
V	124	Å³ per cell
mass density	8.777	Mg/m³
size of the total moment	0.04	μB per formula unit

Cell lengths 4.9919, 4.9919, 4.9764 Å; angles 90.00, 90.00, 90.00 degrees
Last column: nearest neighbours and their distance in Å.
Fractional coordinates of all 4 atoms:
Sm 0.0000 0.0000 0.0000  8 Tm 3.52, 4 Er 3.53
Er 0.5000 0.5000 0.0000  8 Tm 3.52, 4 Sm 3.53
Tm 0.0000 0.5000 0.5000  4 Er 3.52, 4 Sm 3.52, 4 Tm 3.53
Tm 0.5000 0.0000 0.5000  4 Er 3.52, 4 Sm 3.52, 4 Tm 3.53



Most stable of them? B.



A | This record from Alexandria describes crystalline SmErTm2 at its relaxed geometry. The functional is GGA-PBE.

Results
SG	No. 225
V	504	Å³ per cell
mass density	8.646	Mg/m³
size of the total moment	0.00	μB per formula unit

Cell lengths 7.9559, 7.9559, 7.9559 Å; angles 90.00, 90.00, 90.00 degrees
Last column: nearest neighbours and their distance in Å.
Fractional coordinates of all 16 atoms:
Sm 0.0000 0.0000 0.0000  8 Tm 3.44
Sm 0.0000 0.5000 0.5000  8 Tm 3.44
Sm 0.5000 0.0000 0.5000  8 Tm 3.44
Sm 0.5000 0.5000 0.0000  8 Tm 3.44
Er 0.0000 0.0000 0.5000  8 Tm 3.44
Er 0.0000 0.5000 0.0000  8 Tm 3.44
Er 0.5000 0.0000 0.0000  8 Tm 3.44
Er 0.5000 0.5000 0.5000  8 Tm 3.44
Tm 0.2500 0.2500 0.2500  4 Er 3.44, 4 Sm 3.44
Tm 0.2500 0.2500 0.7500  4 Er 3.44, 4 Sm 3.44
Tm 0.2500 0.7500 0.2500  4 Er 3.44, 4 Sm 3.44
Tm 0.2500 0.7500 0.7500  4 Er 3.44, 4 Sm 3.44
Tm 0.7500 0.2500 0.2500  4 Er 3.44, 4 Sm 3.44
Tm 0.7500 0.2500 0.7500  4 Er 3.44, 4 Sm 3.44
Tm 0.7500 0.7500 0.2500  4 Er 3.44, 4 Sm 3.44
Tm 0.7500 0.7500 0.7500  4 Er 3.44, 4 Sm 3.44



B | This record from Alexandria describes crystalline SmErTm2 at its relaxed geometry. The functional is GGA-PBE.

Results
SG	No. 44
V	252	Å³ per cell
mass density	8.645	Mg/m³
size of the total moment	0.00	μB per formula unit

Cell lengths 3.6080, 11.2116, 6.2249 Å; angles 90.00, 90.00, 90.00 degrees
Last column: nearest neighbours and their distance in Å.
Fractional coordinates of all 8 atoms:
Sm 0.0000 0.0000 0.0000  6 Tm 3.48-3.50, 4 Er 3.58-3.61, 2 Sm 3.61
Sm 0.5000 0.5000 0.5000  6 Tm 3.48-3.50, 4 Er 3.58-3.61, 2 Sm 3.61
Er 0.0000 0.5000 0.9971  6 Tm 3.48-3.50, 4 Sm 3.58-3.61, 2 Er 3.61
Er 0.5000 0.0000 0.4971  6 Tm 3.48-3.50, 4 Sm 3.58-3.61, 2 Er 3.61
Tm 0.0000 0.2486 0.6644  3 Er 3.48-3.50, 3 Sm 3.48-3.50, 6 Tm 3.60-3.61
Tm 0.0000 0.7514 0.6644  3 Er 3.48-3.50, 3 Sm 3.48-3.50, 6 Tm 3.60-3.61
Tm 0.5000 0.2514 0.1644  3 Er 3.48-3.50, 3 Sm 3.48-3.50, 6 Tm 3.60-3.61
Tm 0.5000 0.7486 0.1644  3 Er 3.48-3.50, 3 Sm 3.48-3.50, 6 Tm 3.60-3.61



C | This record from Alexandria describes crystalline SmErTm2 at its relaxed geometry. The functional is GGA-PBE.

Results
SG	No. 13
V	519	Å³ per cell
mass density	8.395	Mg/m³
size of the total moment	0.00	μB per formula unit

Cell lengths 6.8999, 6.8811, 10.9235 Å; angles 90.00, 90.04, 90.00 degrees
Last column: nearest neighbours and their distance in Å.
Fractional coordinates of all 16 atoms:
Sm 0.1256 0.1256 0.3874  7 Tm 3.43-3.47, 2 Sm 3.46-3.47, 1 Er 3.47
Sm 0.1256 0.8744 0.8874  7 Tm 3.43-3.47, 2 Sm 3.46-3.47, 1 Er 3.47
Sm 0.8744 0.1256 0.1126  7 Tm 3.43-3.47, 2 Sm 3.46-3.47, 1 Er 3.47
Sm 0.8744 0.8744 0.6126  7 Tm 3.43-3.47, 2 Sm 3.46-3.47, 1 Er 3.47
Er 0.3756 0.3756 0.6131  7 Tm 3.43-3.46, 2 Er 3.45-3.46, 1 Sm 3.47
Er 0.3756 0.6244 0.1131  7 Tm 3.43-3.46, 2 Er 3.45-3.46, 1 Sm 3.47
Er 0.6244 0.3756 0.8869  7 Tm 3.43-3.46, 2 Er 3.45-3.46, 1 Sm 3.47
Er 0.6244 0.6244 0.3869  7 Tm 3.43-3.46, 2 Er 3.45-3.46, 1 Sm 3.47
Tm 0.1254 0.3760 0.8879  3 Sm 3.43-3.46, 4 Er 3.44-3.46, 3 Tm 3.45-3.47
Tm 0.1254 0.6240 0.3879  3 Sm 3.43-3.46, 4 Er 3.44-3.46, 3 Tm 3.45-3.47
Tm 0.3761 0.1260 0.1120  3 Er 3.43-3.46, 4 Sm 3.44-3.47, 3 Tm 3.45-3.47
Tm 0.3761 0.8740 0.6120  3 Er 3.43-3.46, 4 Sm 3.44-3.47, 3 Tm 3.45-3.47
Tm 0.6239 0.1260 0.3880  3 Er 3.43-3.46, 4 Sm 3.44-3.47, 3 Tm 3.45-3.47
Tm 0.6239 0.8740 0.8880  3 Er 3.43-3.46, 4 Sm 3.44-3.47, 3 Tm 3.45-3.47
Tm 0.8746 0.3760 0.6121  3 Sm 3.43-3.46, 4 Er 3.44-3.46, 3 Tm 3.45-3.47
Tm 0.8746 0.6240 0.1121  3 Sm 3.43-3.46, 4 Er 3.44-3.46, 3 Tm 3.45-3.47



Most stable of them? B.



A | This record from Alexandria describes crystalline Sm4ErTm4 at its relaxed geometry. The functional is GGA-PBE.

Results
SG	No. 12
V	288	Å³ per cell
mass density	8.324	Mg/m³
size of the total moment	0.00	μB per formula unit

Cell lengths 8.8285, 8.8285, 6.7574 Å; angles 112.17, 112.17, 36.60 degrees
Last column: nearest neighbours and their distance in Å.
Fractional coordinates of all 9 atoms:
Sm 0.1335 0.1335 0.4602  4 Tm 3.27-3.36, 3 Sm 3.47-3.48, 2 Er 3.64
Sm 0.2797 0.2797 0.2134  2 Tm 3.33-3.59, 1 Er 3.42, 3 Sm 3.47-3.48
Sm 0.7203 0.7203 0.7866  2 Tm 3.33-3.59, 1 Er 3.42, 3 Sm 3.47-3.48
Sm 0.8665 0.8665 0.5398  4 Tm 3.27-3.36, 3 Sm 3.47-3.48, 2 Er 3.64
Er 0.5000 0.5000 0.5000  6 Sm 3.42-3.64, 6 Tm 3.57-3.62
Tm 0.0711 0.0711 0.8746  3 Sm 3.27-3.36, 3 Tm 3.33-3.43, 2 Er 3.62
Tm 0.3769 0.3769 0.8266  2 Tm 3.33, 3 Sm 3.35-3.59, 1 Er 3.57
Tm 0.6231 0.6231 0.1734  2 Tm 3.33, 3 Sm 3.35-3.59, 1 Er 3.57
Tm 0.9289 0.9289 0.1254  3 Sm 3.27-3.36, 3 Tm 3.33-3.43, 2 Er 3.62



B | This record from Alexandria describes crystalline Sm4ErTm4 at its relaxed geometry. The functional is GGA-PBE.

Results
SG	No. 139
V	285	Å³ per cell
mass density	8.409	Mg/m³
size of the total moment	0.00	μB per formula unit

Cell lengths 7.9493, 7.9493, 7.9493 Å; angles 95.70, 95.70, 143.25 degrees
Last column: nearest neighbours and their distance in Å.
Fractional coordinates of all 9 atoms:
Sm 0.0000 0.3309 0.3309  1 Er 3.53, 6 Tm 3.54-3.57, 5 Sm 3.58-3.61
Sm 0.0000 0.6691 0.6691  1 Er 3.53, 6 Tm 3.54-3.57, 5 Sm 3.58-3.61
Sm 0.3309 0.0000 0.3309  1 Er 3.53, 6 Tm 3.54-3.57, 5 Sm 3.58-3.61
Sm 0.6691 0.0000 0.6691  1 Er 3.53, 6 Tm 3.54-3.57, 5 Sm 3.58-3.61
Er 0.0000 0.0000 0.0000  4 Sm 3.53, 8 Tm 3.54
Tm 0.3342 0.3342 0.6683  6 Sm 3.54-3.57, 4 Tm 3.54-3.57, 2 Er 3.54
Tm 0.3342 0.6659 0.0000  6 Sm 3.54-3.57, 4 Tm 3.54-3.57, 2 Er 3.54
Tm 0.6659 0.3342 0.0000  6 Sm 3.54-3.57, 4 Tm 3.54-3.57, 2 Er 3.54
Tm 0.6659 0.6659 0.3317  6 Sm 3.54-3.57, 4 Tm 3.54-3.57, 2 Er 3.54



Most stable of them? B.